Entry 1:
## KAsP3 (SCAN)

Data for a crystal of KAsP3 relaxed with PBEsol.

a = 4.9985 Å, b = 4.9985 Å, c = 4.9985 Å
α = 90.00°, β = 90.00°, γ = 90.00°
Closest atoms and distances in Å follow each position.
Space group Pm-3m (No. 221)
Symmetry-distinct sites (fractional):
K 0.0000 0.0000 0.0000 x1  6 P 2.50
As 0.5000 0.5000 0.5000 x1  12 P 3.53
P 0.0000 0.0000 0.5000 x3  2 K 2.50

Output
Density, g/cm³: 2.8
Total moment, μB/cell: 0.000
Energy, eV per cell: -47.811


Entry 2:
## MnAsF2 (SCAN)

Data for a crystal of MnAsF2 relaxed with PBEsol.

a = 3.0396 Å, b = 3.0396 Å, c = 27.4198 Å
α = 90.00°, β = 90.00°, γ = 120.00°
Closest atoms and distances in Å follow each position.
Space group R-3m (No. 166, hexagonal axes)
Symmetry-distinct sites (fractional):
Mn 0.0000 0.0000 0.0000 x3  6 F 2.08
As 0.0000 0.0000 0.5000 x3  6 As 3.04
F 0.0000 0.0000 0.3739 x6  3 Mn 2.08

Output
Density, g/cm³: 3.8
Total moment, μB/cell: 14.977
Energy, eV per cell: -156.930
E_form (uncorrected), eV per atom: -1.696


Entry 3:
## Ti3BeAs (SCAN)

Data for a crystal of Ti3BeAs relaxed with PBEsol.

a = 4.6024 Å, b = 4.6024 Å, c = 4.6024 Å
α = 90.00°, β = 90.00°, γ = 90.00°
Closest atoms and distances in Å follow each position.
Space group Pm-3m (No. 221)
Symmetry-distinct sites (fractional):
Ti 0.0000 0.0000 0.5000 x3  2 As 2.30
Be 0.5000 0.5000 0.5000 x1  12 Ti 3.25
As 0.0000 0.0000 0.0000 x1  6 Ti 2.30

Output
Density, g/cm³: 3.9
Total moment, μB/cell: 0.002
Energy, eV per cell: -70.647


Entry 4:
## MnPtOF2 (SCAN)

Data for a crystal of MnPtOF2 relaxed with PBEsol.

a = 4.2292 Å, b = 4.2292 Å, c = 3.9479 Å
α = 90.00°, β = 90.00°, γ = 90.00°
Closest atoms and distances in Å follow each position.
Space group P4/mmm (No. 123)
Symmetry-distinct sites (fractional):
Mn 0.0000 0.0000 0.0000 x1  8 F 2.89, 4 O 2.99
Pt 0.5000 0.5000 0.5000 x1  2 O 1.97, 4 F 2.11
O 0.5000 0.5000 0.0000 x1  2 Pt 1.97
F 0.0000 0.5000 0.5000 x2  2 Pt 2.11

Output
Density, g/cm³: 7.1
ΔE to the lowest computed polymorph, eV/f.u.: 2.01
Total moment, μB/cell: 5.229
Energy, eV per cell: -105.053
E_form (uncorrected), eV per atom: -0.659


Entry 5:
## Zn2CrSe (SCAN)

Data for a crystal of Zn2CrSe relaxed with PBEsol.

a = 5.0429 Å, b = 9.9722 Å, c = 3.4647 Å
α = 90.00°, β = 130.94°, γ = 90.00°
Closest atoms and distances in Å follow each position.
Space group C2/m (No. 12)
Symmetry-distinct sites (fractional):
Zn 0.2500 0.2500 0.0000 x4  4 Zn 2.52-2.63, 2 Cr 2.79, 2 Se 2.79
Cr 0.0000 0.0000 0.0000 x2  4 Se 2.52-2.63, 4 Zn 2.79
Se 0.0000 0.5000 0.0000 x2  4 Cr 2.52-2.63, 4 Zn 2.79

Output
Density, g/cm³: 6.6
Total moment, μB/cell: 7.222
Energy, eV per cell: -131.383
E_form (uncorrected), eV per atom: -0.050


Entry 6:
## PrGe3Rh (SCAN)

Data for a crystal of PrGe3Rh relaxed with PBEsol.

a = 4.3694 Å, b = 4.3694 Å, c = 10.0065 Å
α = 90.00°, β = 90.00°, γ = 90.00°
Closest atoms and distances in Å follow each position.
Space group I4mm (No. 107)
Symmetry-distinct sites (fractional):
Pr 0.0000 0.0000 0.0000 x2  12 Ge 3.19-3.42, 5 Rh 3.41-3.48
Ge 0.0000 0.0000 0.4224 x2  1 Rh 2.37
Ge 0.0000 0.5000 0.2635 x4  2 Rh 2.42, 2 Ge 2.70
Rh 0.0000 0.0000 0.6596 x2  5 Ge 2.37-2.42

Output
Density, g/cm³: 8.0
Total moment, μB/cell: 0.000
Energy, eV per cell: -277.168


Q: The highest density belongs to which entry?
A: PrGe3Rh


Q: Among the records above, which one has the lowest density?
A: KAsP3


Q: What is the formula in the second record?
A: MnAsF2